# ErPRu2C, single point on PBEsol structure, DFT SCAN
# Uncorrected energy   -28.86 eV/atom
# Fermi-level density of states   1.61 states/eV/f.u.
# Total magnetization   0.000 μB per formula unit
# Energy of formation from the pure elements   -3.8 eV per formula unit
# ρ   9.7 g cm⁻³
data_ErPRu2C
_cell_length_a 3.7035
_cell_length_b 10.9507
_cell_length_c 6.9589
_cell_angle_alpha 90.00
_cell_angle_beta 90.00
_cell_angle_gamma 90.00
_symmetry_space_group_name_H-M 'C m c m'
_symmetry_Int_Tables_number 63
_symmetry_space_group_name_Hall '-C 2c 2'
loop_
_atom_site_label
_atom_site_fract_x
_atom_site_fract_y
_atom_site_fract_z
Er1 0.0000 0.0437 0.2500
P1 0.0000 0.2318 0.7500
Ru1 0.0000 0.3346 0.0536
C1 0.0000 0.5000 0.0000